First-principles (PBE) data for Hf4FeN after structural relaxation, as listed in Alexandria.

Lattice parameters (Å, degrees): 5.6392 5.6392 3.3984 90.00 90.00 90.32
Closest atoms and distances in Å follow each position.
Positions (direct):
Hf 0.2149 0.7851 0.0000  1 N 2.28, 2 Fe 2.42
Hf 0.3122 0.3122 0.5000  2 N 2.26, 1 Fe 2.48
Hf 0.6878 0.6878 0.5000  2 N 2.26, 1 Fe 2.48
Hf 0.7851 0.2149 0.0000  1 N 2.28, 2 Fe 2.42
Fe 0.0000 0.0000 0.5000  6 Hf 2.42-2.48
N 0.5000 0.5000 0.0000  6 Hf 2.26-2.28

Properties
Calculated density ... 12.04 g/cm3
Uncorrected formation energy ... -464 meV/atom
D(E_F) ... 4.2 states/eV per cell